No. 1
This record from the Alexandria database describes crystalline HfAlC at its relaxed geometry. The functional is PBE.

Unit cell a=3.258 b=3.258 c=3.976 alpha=90.00 beta=90.00 gamma=90.00
Element x y z (fractional)
1 Hf 0.000 0.000 0.000
2 Al 0.500 0.500 0.500
3 C 0.500 0.500 0.000

Results
**E**: -24.09 eV/cell
**Symmetry**: No. 123
**E above lowest polymorph**: 0.442 eV per formula unit
**Energy of formation from the pure elements**: -390 meV per atom

No. 2
This record from the Alexandria database describes crystalline Zr2Al5Tc2Ag at its relaxed geometry. The functional is PBE.

Unit cell a=10.156 b=10.156 c=3.406 alpha=90.00 beta=90.00 gamma=90.00
Element x y z (fractional)
1 Zr 0.191 0.309 0.000
2 Zr 0.309 0.809 0.000
3 Zr 0.691 0.191 0.000
4 Zr 0.809 0.691 0.000
5 Al 0.000 0.500 0.500
6 Al 0.044 0.796 0.500
7 Al 0.204 0.044 0.500
8 Al 0.296 0.544 0.500
9 Al 0.456 0.296 0.500
10 Al 0.500 0.000 0.500
11 Al 0.544 0.704 0.500
12 Al 0.704 0.456 0.500
13 Al 0.796 0.956 0.500
14 Al 0.956 0.204 0.500
15 Tc 0.125 0.625 0.000
16 Tc 0.375 0.125 0.000
17 Tc 0.625 0.875 0.000
18 Tc 0.875 0.375 0.000
19 Ag 0.000 0.000 0.000
20 Ag 0.500 0.500 0.000

Results
**E**: -122.68 eV/cell
**Symmetry**: No. 127
**Energy of formation from the pure elements**: -195 meV per atom

No. 3
This record from the Alexandria database describes crystalline Ce2TeOs at its relaxed geometry. The functional is PBE.

Unit cell a=7.786 b=7.786 c=7.786 alpha=30.68 beta=30.68 gamma=30.68
Element x y z (fractional)
1 Ce 0.235 0.235 0.235
2 Ce 0.765 0.765 0.765
3 Te 0.000 0.000 0.000
4 Os 0.500 0.500 0.500

Results
**E**: -29.09 eV/cell
**Symmetry**: No. 166

No. 4
This record from the Alexandria database describes crystalline Al2CrMoC at its relaxed geometry. The functional is PBE.

Unit cell a=4.573 b=4.573 c=3.626 alpha=90.00 beta=90.00 gamma=90.00
Element x y z (fractional)
1 Al 0.000 0.500 0.000
2 Al 0.500 0.000 0.000
3 Cr 0.000 0.000 0.000
4 Mo 0.500 0.500 0.500
5 C 0.000 0.000 0.500

Results
**E**: -31.31 eV/cell
**Symmetry**: No. 123
**Energy of formation from the pure elements**: 1172 meV per atom

No. 5
This record from the Alexandria database describes crystalline Nd4GaBi3 at its relaxed geometry. The functional is PBE.

Unit cell a=6.438 b=6.438 c=6.438 alpha=90.00 beta=90.00 gamma=90.00
Element x y z (fractional)
1 Nd 0.000 0.000 0.000
2 Nd 0.000 0.500 0.500
3 Nd 0.500 0.000 0.500
4 Nd 0.500 0.500 0.000
5 Ga 0.500 0.500 0.500
6 Bi 0.000 0.000 0.500
7 Bi 0.000 0.500 0.000
8 Bi 0.500 0.000 0.000

Results
**E**: -39.72 eV/cell
**Symmetry**: No. 221
**Energy of formation from the pure elements**: -747 meV per atom

No. 6
This record from the Alexandria database describes crystalline Li2HfAlS4 at its relaxed geometry. The functional is PBE.

Unit cell a=6.375 b=3.543 c=6.418 alpha=90.00 beta=108.96 gamma=90.00
Element x y z (fractional)
1 Li 0.000 0.000 0.000
2 Li 0.000 0.500 0.500
3 Hf 0.500 0.000 0.500
4 Al 0.500 0.500 0.000
5 S 0.261 0.500 0.241
6 S 0.274 0.000 0.765
7 S 0.726 0.000 0.235
8 S 0.739 0.500 0.759

Results
**E**: -44.57 eV/cell
**Symmetry**: No. 10

- What is the E in the sixth record?
  -44.57 eV/cell